Record 1
VASP calculation (PBE) on an optimized crystal structure of LaHo4Cu.

Output
Symmetry: P4/mmm
Energy of formation: -0.0461 eV per atom

a b c (Å): 3.5490 3.5490 13.6118
angles (deg): 90.00 90.00 90.00
Element x y z (fractional)
1 Cu 0.5000 0.5000 0.5000
2 Ho 0.5000 0.5000 0.8089
3 La 0.0000 0.0000 0.0000
4 Ho 0.0000 0.0000 0.6221
5 Ho 0.5000 0.5000 0.1911
6 Ho 0.0000 0.0000 0.3779

=====

Record 2
VASP calculation (PBE) on an optimized crystal structure of NaBeHg2Au.

Output
Symmetry: P4/mmm
Energy of formation: -0.0341 eV per atom

a b c (Å): 4.8363 4.8363 4.6530
angles (deg): 90.00 90.00 90.00
Element x y z (fractional)
1 Be 0.0000 0.0000 0.0000
2 Na 0.5000 0.5000 0.5000
3 Hg 0.5000 0.0000 0.0000
4 Au 0.0000 0.0000 0.5000
5 Hg 0.0000 0.5000 0.0000

=====

Record 3
VASP calculation (PBE) on an optimized crystal structure of Li2NdAsSe4.

Output
Symmetry: P2/m
Formation energy from raw total energies: -1.06 eV per atom

a b c (Å): 4.0542 6.8629 7.0231
angles (deg): 70.42 90.00 90.00
Element x y z (fractional)
1 Li 0.5000 0.0000 0.5000
2 Se 0.5000 0.7568 0.2298
3 Se 0.0000 0.7470 0.7718
4 Nd 0.0000 0.5000 0.5000
5 Se 0.5000 0.2432 0.7702
6 Li 0.0000 0.0000 0.0000
7 As 0.5000 0.5000 0.0000
8 Se 0.0000 0.2530 0.2282